No. 1
# CuNi3Au PBE relaxed
# - ΔE_f: 983.3 meV/atom
# - Energy above the most stable polymorph in this dataset: 0.0000 eV per atom
data_CuNi3Au
_cell_length_a 4.2734
_cell_length_b 4.2734
_cell_length_c 4.2734
_cell_angle_alpha 90.00
_cell_angle_beta 90.00
_cell_angle_gamma 90.00
_symmetry_space_group_name_H-M 'P m -3 m'
_symmetry_Int_Tables_number 221
_symmetry_space_group_name_Hall '-P 4 2 3'
loop_
_atom_site_label
_atom_site_fract_x
_atom_site_fract_y
_atom_site_fract_z
Cu1 0.0000 0.0000 0.0000
Ni1 0.0000 0.0000 0.5000
Au1 0.5000 0.5000 0.5000

No. 2
# Li3Al PBE relaxed
# - ΔE_f: -79.5 meV/atom
data_Li3Al
_cell_length_a 3.9706
_cell_length_b 3.9706
_cell_length_c 8.5811
_cell_angle_alpha 90.00
_cell_angle_beta 90.00
_cell_angle_gamma 90.00
_symmetry_space_group_name_H-M 'I 4/m m m'
_symmetry_Int_Tables_number 139
_symmetry_space_group_name_Hall '-I 4 2'
loop_
_atom_site_label
_atom_site_fract_x
_atom_site_fract_y
_atom_site_fract_z
Li1 0.0000 0.0000 0.0000
Li2 0.0000 0.5000 0.2500
Al1 0.0000 0.0000 0.5000

No. 3
# BICl PBE relaxed
# - Energy above the most stable polymorph in this dataset: 0.4875 eV per atom
# - Formation energy without anion corrections: 0.25 eV per atom
data_BICl
_cell_length_a 9.6990
_cell_length_b 10.7744
_cell_length_c 4.4538
_cell_angle_alpha 90.00
_cell_angle_beta 117.23
_cell_angle_gamma 90.00
_symmetry_space_group_name_H-M 'C 1 2/m 1'
_symmetry_Int_Tables_number 12
loop_
_symmetry_equiv_pos_as_xyz
'x,y,z'
'-x,-y,-z'
'-x,y,-z'
'x,-y,z'
'x+1/2,y+1/2,z'
'-x+1/2,-y+1/2,-z'
'-x+1/2,y+1/2,-z'
'x+1/2,-y+1/2,z'
loop_
_atom_site_label
_atom_site_fract_x
_atom_site_fract_y
_atom_site_fract_z
B1 0.0000 0.1264 0.0000
I1 0.0000 0.2107 0.5000
Cl1 0.1673 0.0000 0.1667

No. 4
# HfBRh3 PBE relaxed
# - ΔE_f: 242.1 meV/atom
# - Energy above the most stable polymorph in this dataset: 1.0266 eV per atom
data_HfBRh3
_cell_length_a 6.3808
_cell_length_b 12.5280
_cell_length_c 4.9906
_cell_angle_alpha 90.00
_cell_angle_beta 90.00
_cell_angle_gamma 90.00
_symmetry_space_group_name_H-M 'C m c m'
_symmetry_Int_Tables_number 63
_symmetry_space_group_name_Hall '-C 2c 2'
loop_
_atom_site_label
_atom_site_fract_x
_atom_site_fract_y
_atom_site_fract_z
Hf1 0.0000 0.1844 0.2500
B1 0.0000 0.3832 0.2500
Rh1 0.0000 0.0000 0.0000
Rh2 0.2141 0.1620 0.7500

No. 5
# La2PmGa PBE relaxed
# - ΔE_f: -251.3 meV/atom
# - Energy above the most stable polymorph in this dataset: 0.0153 eV per atom
data_La2PmGa
_cell_length_a 3.7757
_cell_length_b 3.7757
_cell_length_c 8.8534
_cell_angle_alpha 90.00
_cell_angle_beta 90.00
_cell_angle_gamma 90.00
_symmetry_space_group_name_H-M 'P 4/m m m'
_symmetry_Int_Tables_number 123
_symmetry_space_group_name_Hall '-P 4 2'
loop_
_atom_site_label
_atom_site_fract_x
_atom_site_fract_y
_atom_site_fract_z
La1 0.0000 0.0000 0.2054
Pm1 0.5000 0.5000 0.5000
Ga1 0.5000 0.5000 0.0000

No. 6
# Cs3Np2PbO9 PBE relaxed
# - Formation energy without anion corrections: -2.24 eV per atom
data_Cs3Np2PbO9
_cell_length_a 6.3613
_cell_length_b 6.3613
_cell_length_c 7.8407
_cell_angle_alpha 90.00
_cell_angle_beta 90.00
_cell_angle_gamma 120.00
_symmetry_space_group_name_H-M 'P -3 m 1'
_symmetry_Int_Tables_number 164
_symmetry_space_group_name_Hall '-P 3 2"'
loop_
_atom_site_label
_atom_site_fract_x
_atom_site_fract_y
_atom_site_fract_z
Cs1 0.0000 0.0000 0.0000
Cs2 0.3333 0.6667 0.6558
Np1 0.3333 0.6667 0.1526
Pb1 0.0000 0.0000 0.5000
O1 0.0000 0.5000 0.0000
O2 0.1869 0.3737 0.3003

No. 7
# La6TbNdSm2 PBE relaxed
# - ΔE_f: 182.1 meV/atom
data_La6TbNdSm2
_cell_length_a 11.5319
_cell_length_b 7.0077
_cell_length_c 9.3185
_cell_angle_alpha 90.00
_cell_angle_beta 107.55
_cell_angle_gamma 90.00
_symmetry_space_group_name_H-M 'C 1 2/m 1'
_symmetry_Int_Tables_number 12
loop_
_symmetry_equiv_pos_as_xyz
'x,y,z'
'-x,-y,-z'
'-x,y,-z'
'x,-y,z'
'x+1/2,y+1/2,z'
'-x+1/2,-y+1/2,-z'
'-x+1/2,y+1/2,-z'
'x+1/2,-y+1/2,z'
loop_
_atom_site_label
_atom_site_fract_x
_atom_site_fract_y
_atom_site_fract_z
La1 0.1286 0.0000 0.4220
La2 0.1976 0.2672 0.8061
Tb1 0.0000 0.0000 0.0000
Nd1 0.0000 0.5000 0.5000
Sm1 0.0726 0.5000 0.1704

No. 8
# CsPb2I4 PBE relaxed
# - Formation energy without anion corrections: -0.76 eV per atom
data_CsPb2I4
_cell_length_a 5.5159
_cell_length_b 14.1778
_cell_length_c 16.5145
_cell_angle_alpha 90.00
_cell_angle_beta 90.00
_cell_angle_gamma 90.00
_symmetry_space_group_name_H-M 'C m c m'
_symmetry_Int_Tables_number 63
_symmetry_space_group_name_Hall '-C 2c 2'
loop_
_atom_site_label
_atom_site_fract_x
_atom_site_fract_y
_atom_site_fract_z
Cs1 0.0000 0.1303 0.2500
Pb1 0.0000 0.3821 0.0550
I1 0.0000 0.0000 0.0000
I2 0.0000 0.2618 0.6072
I3 0.0000 0.4398 0.2500

No. 9
# Ti2VZn2 PBE relaxed
# - ΔE_f: -86.0 meV/atom
# - Energy above the most stable polymorph in this dataset: 0.0000 eV per atom
data_Ti2VZn2
_cell_length_a 2.7486
_cell_length_b 4.3730
_cell_length_c 6.8025
_cell_angle_alpha 108.67
_cell_angle_beta 100.21
_cell_angle_gamma 90.17
_symmetry_space_group_name_H-M 'P -1'
_symmetry_Int_Tables_number 2
loop_
_symmetry_equiv_pos_as_xyz
'x,y,z'
'-x,-y,-z'
loop_
_atom_site_label
_atom_site_fract_x
_atom_site_fract_y
_atom_site_fract_z
Ti1 0.1864 0.4011 0.3031
V1 0.0000 0.0000 0.5000
Zn1 0.4838 0.1962 0.8919

No. 10
# As2PbAu2 PBE relaxed
# - ΔE_f: -60.2 meV/atom
data_As2PbAu2
_cell_length_a 7.6277
_cell_length_b 4.3996
_cell_length_c 7.6528
_cell_angle_alpha 90.00
_cell_angle_beta 109.31
_cell_angle_gamma 90.00
_symmetry_space_group_name_H-M 'C 1 2/m 1'
_symmetry_Int_Tables_number 12
loop_
_symmetry_equiv_pos_as_xyz
'x,y,z'
'-x,-y,-z'
'-x,y,-z'
'x,-y,z'
'x+1/2,y+1/2,z'
'-x+1/2,-y+1/2,-z'
'-x+1/2,y+1/2,-z'
'x+1/2,-y+1/2,z'
loop_
_atom_site_label
_atom_site_fract_x
_atom_site_fract_y
_atom_site_fract_z
As1 0.0575 0.0000 0.1712
Pb1 0.0000 0.5000 0.5000
Au1 0.2487 0.5000 0.2446

No. 11
# BPIO2 PBE relaxed
# - Energy above the most stable polymorph in this dataset: 0.4690 eV per atom
# - Formation energy without anion corrections: 0.73 eV per atom
data_BPIO2
_cell_length_a 3.6852
_cell_length_b 3.6852
_cell_length_c 4.6540
_cell_angle_alpha 90.00
_cell_angle_beta 90.00
_cell_angle_gamma 90.00
_symmetry_space_group_name_H-M 'P 4/m m m'
_symmetry_Int_Tables_number 123
_symmetry_space_group_name_Hall '-P 4 2'
loop_
_atom_site_label
_atom_site_fract_x
_atom_site_fract_y
_atom_site_fract_z
B1 0.0000 0.0000 0.0000
P1 0.5000 0.5000 0.5000
I1 0.0000 0.0000 0.5000
O1 0.0000 0.5000 0.0000

No. 12
# NaTcP PBE relaxed
# - ΔE_f: -262.4 meV/atom
# - Energy above the most stable polymorph in this dataset: 0.1473 eV per atom
data_NaTcP
_cell_length_a 3.4796
_cell_length_b 4.9446
_cell_length_c 7.1891
_cell_angle_alpha 99.85
_cell_angle_beta 90.18
_cell_angle_gamma 110.02
_symmetry_space_group_name_H-M 'P 1'
_symmetry_Int_Tables_number 1
loop_
_symmetry_equiv_pos_as_xyz
'x,y,z'
loop_
_atom_site_label
_atom_site_fract_x
_atom_site_fract_y
_atom_site_fract_z
Na1 0.0000 0.0000 0.0000
Na2 0.3001 0.5943 0.2476
Tc1 0.2449 0.5032 0.6856
Tc2 0.4982 0.0016 0.6292
P1 0.0409 0.0908 0.4266
P2 0.7006 0.4110 0.8872

| no. | E_tot (eV per formula unit) |
| --- | --- |
| 1 | -19.8 |
| 2 | -9.8 |
| 3 | -9.3 |
| 4 | -37.5 |
| 5 | -18.6 |
| 6 | -110.3 |
| 7 | -46.6 |
| 8 | -19.8 |
| 9 | -27.9 |
| 10 | -19.9 |
| 11 | -19.9 |
| 12 | -17.9 |